The following is a PBE calculation of a geometry-optimized Sr2CaMgSe4 structure, from Alexandria.

a b c (Å): 7.3867 4.2623 7.3921
angles (deg): 90.00 109.59 90.00
With the nearest neighbours (Å) after each atom.
Atoms (fractional coordinates):
Sr  0.0000  0.0000  0.0000  6 Se 3.07-3.08
Sr  0.0000  0.5000  0.5000  6 Se 3.14-3.15
Ca  0.5000  0.0000  0.5000  6 Se 2.96-2.97
Mg  0.5000  0.5000  0.0000  6 Se 2.88-2.90
Se  0.2690  0.5000  0.2491  1 Mg 2.90, 2 Ca 2.96, 3 Sr 3.07-3.14
Se  0.2764  0.0000  0.7674  2 Mg 2.88, 1 Ca 2.97, 3 Sr 3.08-3.15
Se  0.7236  0.0000  0.2326  2 Mg 2.88, 1 Ca 2.97, 3 Sr 3.08-3.15
Se  0.7310  0.5000  0.7509  1 Mg 2.90, 2 Ca 2.96, 3 Sr 3.07-3.14

Total DFT energy (no corrections) = -4.420 eV per atom
Formation energy from raw total energies = -1808 meV/atom
Fermi-level density of states = 0.0 states/eV/cell

The following is a PBE calculation of a geometry-optimized Re2Sb structure, from Alexandria.

a b c (Å): 6.3229 6.3229 6.3229
angles (deg): 90.00 90.00 90.00
With the nearest neighbours (Å) after each atom.
Atoms (fractional coordinates):
Re  0.1053  0.1053  0.1053  1 Re 2.31
Re  0.1053  0.3947  0.6053  1 Re 2.31
Re  0.3947  0.6053  0.1053  1 Re 2.31
Re  0.3947  0.8947  0.6053  1 Re 2.31
Re  0.6053  0.1053  0.3947  1 Re 2.31
Re  0.6053  0.3947  0.8947  1 Re 2.31
Re  0.8947  0.6053  0.3947  1 Re 2.31
Re  0.8947  0.8947  0.8947  1 Re 2.31
Sb  0.0000  0.0000  0.5000  6 Re 2.67
Sb  0.0000  0.5000  0.0000  6 Re 2.67
Sb  0.5000  0.0000  0.0000  6 Re 2.67
Sb  0.5000  0.5000  0.5000  6 Re 2.67

Total DFT energy (no corrections) = -8.237 eV per atom
Formation energy from raw total energies = 1435 meV/atom
Distance to the lowest polymorph of the same formula = 119.0 kJ/mol of atoms
Fermi-level density of states = 14.1 states/eV/cell

The following is a PBE calculation of a geometry-optimized TbHoSbS structure, from Alexandria.

a b c (Å): 7.6885 7.6885 7.6885
angles (deg): 30.54 30.54 30.54
With the nearest neighbours (Å) after each atom.
Atoms (fractional coordinates):
Tb  0.0000  0.0000  0.0000  3 S 2.98, 3 Sb 3.03
Ho  0.1614  0.1614  0.1614  3 S 2.89, 3 Sb 2.98
Sb  0.5791  0.5791  0.5791  3 Ho 2.98, 3 Tb 3.03
S  0.7505  0.7505  0.7505  3 Ho 2.89, 3 Tb 2.98

Total DFT energy (no corrections) = -5.732 eV per atom
Formation energy from raw total energies = -1368 meV/atom
Fermi-level density of states = 2.4 states/eV/cell

M_tot per entry: 0.0 0.0 0.5 μB per formula unit